[1]
Ho2InGa3Pt4 | PBE-GGA | optimized geometry

Output
For the energy of formation, the calculation gives -0.894 eV per atom. Its space group is No. 115. For the size of the total moment, the calculation gives 0.00 μB/f.u.

a b c (Å): 4.0799 4.0799 11.5677
angles (deg): 90.00 90.00 90.00
Closest atoms and distances in Å follow each position.
Positions (direct):
Ga1 0.0000 0.5000 0.1298  5 Pt 2.45-2.53
Ga2 0.0000 0.0000 0.5000  4 Pt 2.74, 4 In 2.88
Ga3 0.5000 0.0000 0.8702  5 Pt 2.45-2.53
Pt1 0.0000 0.5000 0.3413  1 Ga 2.45
Pt2 0.5000 0.0000 0.6587  1 Ga 2.45
Pt3 0.5000 0.5000 0.0000  4 Ga 2.53
Pt4 0.0000 0.0000 0.0000  4 Ga 2.53
Ho1 0.0000 0.5000 0.7589  8 Pt 3.11-3.46, 4 Ga 3.16
Ho2 0.5000 0.0000 0.2411  8 Pt 3.11-3.46, 4 Ga 3.16
In1 0.5000 0.5000 0.5000  4 Pt 2.74, 4 Ga 2.88



[2]
HoInGaRh | PBE-GGA | optimized geometry

Output
For the energy of formation, the calculation gives -0.498 eV per atom. Its space group is No. 216. For the size of the total moment, the calculation gives 0.00 μB/f.u.

a b c (Å): 4.7924 4.7924 4.7924
angles (deg): 60.00 60.00 60.00
Closest atoms and distances in Å follow each position.
Positions (direct):
Ga1 0.5000 0.5000 0.5000  4 In 2.93, 4 Ho 2.93
In1 0.7500 0.7500 0.7500  4 Rh 2.93, 4 Ga 2.93
Rh1 0.0000 0.0000 0.0000  4 Ho 2.93, 4 In 2.93
Ho1 0.2500 0.2500 0.2500  4 Rh 2.93, 4 Ga 2.93



[3]
Ho4InGa2Ru | PBE-GGA | optimized geometry

Output
For the energy of formation, the calculation gives -0.502 eV per atom. Its space group is No. 166. For the size of the total moment, the calculation gives 0.00 μB/f.u.

a b c (Å): 5.0557 5.0557 8.7100
angles (deg): 73.13 73.13 60.00
Closest atoms and distances in Å follow each position.
Positions (direct):
Ho1 0.6165 0.6165 0.1506  1 Ru 2.87, 3 Ga 3.01, 3 In 3.17
Ho2 0.1310 0.1310 0.6070  4 Ga 3.00-3.17, 3 Ru 3.05, 1 In 3.22
Ho3 0.8690 0.8690 0.3930  4 Ga 3.00-3.17, 3 Ru 3.05, 1 In 3.22
Ho4 0.3835 0.3835 0.8494  1 Ru 2.87, 3 Ga 3.01, 3 In 3.17
Ga1 0.7471 0.7471 0.7587  8 Ho 3.00-3.22
Ga2 0.2529 0.2529 0.2413  8 Ho 3.00-3.22
Ru1 0.5000 0.5000 0.5000  8 Ho 2.87-3.05
In1 0.0000 0.0000 0.0000  8 Ho 3.17-3.22, 6 Ga 3.53



[4]
Ho4InGaRu2 | PBE-GGA | optimized geometry

Output
For the energy of formation, the calculation gives -0.408 eV per atom. Its space group is No. 166. For the size of the total moment, the calculation gives 0.00 μB/f.u.

a b c (Å): 4.9735 4.9735 8.6242
angles (deg): 73.24 73.24 60.00
Closest atoms and distances in Å follow each position.
Positions (direct):
Ga1 0.5000 0.5000 0.5000  8 Ho 2.98-3.02
Ho1 0.8723 0.8723 0.3831  4 Ru 3.00-3.07, 3 Ga 3.02, 1 In 3.12
Ho2 0.3779 0.3779 0.8662  1 Ga 2.98, 4 Ru 3.02-3.11, 3 In 3.07
Ho3 0.6221 0.6221 0.1338  1 Ga 2.98, 4 Ru 3.02-3.11, 3 In 3.07
Ho4 0.1277 0.1277 0.6169  4 Ru 3.00-3.07, 3 Ga 3.02, 1 In 3.12
In1 0.0000 0.0000 0.0000  8 Ho 3.07-3.12
Ru1 0.2507 0.2507 0.2480  8 Ho 3.00-3.11
Ru2 0.7493 0.7493 0.7520  8 Ho 3.00-3.11



[5]
HoScInGa | PBE-GGA | optimized geometry

Output
For the energy of formation, the calculation gives -0.500 eV per atom. Its space group is No. 99. The calculation puts the energy above the most stable polymorph in this dataset at 0 meV/atom. For the size of the total moment, the calculation gives 0.00 μB/f.u.

a b c (Å): 3.3766 3.3766 7.8895
angles (deg): 90.00 90.00 90.00
Closest atoms and distances in Å follow each position.
Positions (direct):
In1 0.0000 0.0000 0.8430  4 Sc 3.12, 4 Ho 3.27, 4 In 3.38
Ga1 0.0000 0.0000 0.3701  4 Sc 2.95, 4 Ho 3.07
Ho1 0.5000 0.5000 0.1257  4 Ga 3.07, 4 In 3.27, 4 Ho 3.38
Sc1 0.5000 0.5000 0.5892  4 Ga 2.95, 4 In 3.12



[6]
HoScInGa | PBE-GGA | optimized geometry

Output
For the energy of formation, the calculation gives -0.472 eV per atom. Its space group is No. 216. The calculation puts the energy above the most stable polymorph in this dataset at 28 meV/atom. For the size of the total moment, the calculation gives 0.00 μB/f.u.

a b c (Å): 5.0464 5.0464 5.0464
angles (deg): 60.00 60.00 60.00
Closest atoms and distances in Å follow each position.
Positions (direct):
Ho1 0.0000 0.0000 0.0000  4 Ga 3.09, 4 In 3.09
Ga1 0.2500 0.2500 0.2500  4 Ho 3.09, 4 Sc 3.09
In1 0.7500 0.7500 0.7500  4 Sc 3.09, 4 Ho 3.09
Sc1 0.5000 0.5000 0.5000  4 In 3.09, 4 Ga 3.09



[7]
SmHoInGa | PBE-GGA | optimized geometry

Output
For the energy of formation, the calculation gives -0.499 eV per atom. Its space group is No. 216. The calculation puts the energy above the most stable polymorph in this dataset at 21 meV/atom. For the size of the total moment, the calculation gives 0.00 μB/f.u.

a b c (Å): 5.2385 5.2385 5.2385
angles (deg): 60.00 60.00 60.00
Closest atoms and distances in Å follow each position.
Positions (direct):
In1 0.7500 0.7500 0.7500  4 Ho 3.21, 4 Sm 3.21
Ga1 0.2500 0.2500 0.2500  4 Ho 3.21, 4 Sm 3.21
Sm1 0.5000 0.5000 0.5000  4 In 3.21, 4 Ga 3.21
Ho1 0.0000 0.0000 0.0000  4 In 3.21, 4 Ga 3.21



[8]
SmHoInGa | PBE-GGA | optimized geometry

Output
For the energy of formation, the calculation gives -0.520 eV per atom. Its space group is No. 99. The calculation puts the energy above the most stable polymorph in this dataset at 0 meV/atom. For the size of the total moment, the calculation gives 0.00 μB/f.u.

a b c (Å): 3.6552 3.6552 7.5686
angles (deg): 90.00 90.00 90.00
Closest atoms and distances in Å follow each position.
Positions (direct):
In1 0.0000 0.0000 0.8481  4 Ho 3.23, 4 Sm 3.31
Ho1 0.5000 0.5000 0.5924  4 Ga 3.10, 4 In 3.23
Ga1 0.0000 0.0000 0.3665  4 Ho 3.10, 4 Sm 3.18
Sm1 0.5000 0.5000 0.1210  4 Ga 3.18, 4 In 3.31